# 1
Density functional theory data (GGA-PBE) for an optimized crystal structure of Fe4HgAu.

Results
Calculated density in Mg/m³: 11.84
Energy of formation from the pure elements in eV/atom: 0.26
V in Å³ per atom: 14.5
Space group: F-43m (216)
Magnetization in μB per formula unit: 10.83

Lattice parameters (Å, degrees): 4.975 4.975 4.975 60.00 60.00 60.00
Last column: magnetic moment on the atom in μB.
Fractional positions:
Fe: 0.875 0.375 0.375  2.67
Fe: 0.375 0.375 0.875  2.67
Fe: 0.375 0.875 0.375  2.67
Fe: 0.375 0.375 0.375  2.67
Au: 0.000 0.000 0.000  0.09
Hg: 0.750 0.750 0.750  -0.03

---

# 2
Density functional theory data (GGA-PBE) for an optimized crystal structure of FeHgAu.

Results
Calculated density in Mg/m³: 14.37
Energy of formation from the pure elements in eV/atom: 0.25
V in Å³ per atom: 17.5
Space group: I4mm (107)
Magnetization in μB per formula unit: 2.86

Lattice parameters (Å, degrees): 6.233 6.233 2.989 76.13 76.14 27.74
Last column: magnetic moment on the atom in μB.
Fractional positions:
Au: 0.984 0.984 0.016  0.03
Hg: 0.677 0.677 0.323  -0.04
Fe: 0.339 0.339 0.661  2.89

---

# 3
Density functional theory data (GGA-PBE) for an optimized crystal structure of FeHg2Au.

Results
Calculated density in Mg/m³: 14.17
Energy of formation from the pure elements in eV/atom: 0.24
V in Å³ per atom: 19.2
Space group: P4mm (99)
Magnetization in μB per formula unit: 3.03

Lattice parameters (Å, degrees): 3.006 3.006 8.484 90.00 90.00 90.06
Last column: magnetic moment on the atom in μB.
Fractional positions:
Au: 0.000 0.000 0.536  0.06
Hg: 0.000 0.000 0.962  -0.01
Hg: 0.500 0.500 0.266  0.02
Fe: 0.500 0.500 0.736  2.94

---

Copy entry 2 word for word.
Density functional theory data (GGA-PBE) for an optimized crystal structure of FeHgAu.

Results
Calculated density in Mg/m³: 14.37
Energy of formation from the pure elements in eV/atom: 0.25
V in Å³ per atom: 17.5
Space group: I4mm (107)
Magnetization in μB per formula unit: 2.86

Lattice parameters (Å, degrees): 6.233 6.233 2.989 76.13 76.14 27.74
Last column: magnetic moment on the atom in μB.
Fractional positions:
Au: 0.984 0.984 0.016  0.03
Hg: 0.677 0.677 0.323  -0.04
Fe: 0.339 0.339 0.661  2.89

---

- Which of these has the highest magnetization?
  Fe4HgAu

---

- Number 1 is which compound?
  Fe4HgAu